# Ti2TlP2 PBE-GGA optimized geometry
# Energy of formation   -2.1 eV/f.u.
data_Ti2TlP2
_chemical_formula_sum 'Ti4 Tl2 P4'
_symmetry_space_group_name_H-M 'P 4/m b m'
_symmetry_Int_Tables_number 127
_symmetry_space_group_name_Hall '-P 4 2ab'
_cell_length_a 7.289
_cell_length_b 7.289
_cell_length_c 3.247
_cell_angle_alpha 90.00
_cell_angle_beta 90.00
_cell_angle_gamma 90.00
loop_
_atom_site_label
_atom_site_fract_x
_atom_site_fract_y
_atom_site_fract_z
Ti1 0.141 0.359 0.000
Tl1 0.000 0.000 0.500
P1 0.133 0.633 0.500

# TiTlP2 PBE-GGA optimized geometry
# Energy of formation   -0.5 eV/f.u.
# Energy relative to the lowest polymorph listed for this composition   0.000 eV per atom
data_TiTlP2
_chemical_formula_sum 'Ti4 Tl4 P8'
_symmetry_space_group_name_H-M 'I -4 2 d'
_symmetry_Int_Tables_number 122
_symmetry_space_group_name_Hall 'I -4 2bw'
_cell_length_a 5.989
_cell_length_b 5.989
_cell_length_c 11.494
_cell_angle_alpha 90.00
_cell_angle_beta 90.00
_cell_angle_gamma 90.00
loop_
_atom_site_label
_atom_site_fract_x
_atom_site_fract_y
_atom_site_fract_z
Ti1 0.000 0.000 0.000
Tl1 0.000 0.000 0.500
P1 0.199 0.250 0.125

# Ti2Tl2P PBE-GGA optimized geometry
# Energy of formation   -1.4 eV/f.u.
data_Ti2Tl2P
_chemical_formula_sum 'Ti4 Tl4 P2'
_symmetry_space_group_name_H-M 'P 4/m b m'
_symmetry_Int_Tables_number 127
_symmetry_space_group_name_Hall '-P 4 2ab'
_cell_length_a 6.491
_cell_length_b 6.491
_cell_length_c 4.754
_cell_angle_alpha 90.00
_cell_angle_beta 90.00
_cell_angle_gamma 90.00
loop_
_atom_site_label
_atom_site_fract_x
_atom_site_fract_y
_atom_site_fract_z
Ti1 0.161 0.339 0.000
Tl1 0.163 0.663 0.500
P1 0.000 0.000 0.000

# TmTiP2 PBE-GGA optimized geometry
# Energy of formation   -5.2 eV/f.u.
# Energy relative to the lowest polymorph listed for this composition   0.000 eV per atom
data_TmTiP2
_chemical_formula_sum 'Tm3 Ti3 P6'
_symmetry_space_group_name_H-M 'R -3 m'
_symmetry_Int_Tables_number 166
_symmetry_space_group_name_Hall '-R 3 2"'
_cell_length_a 3.7122
_cell_length_b 3.7122
_cell_length_c 18.3781
_cell_angle_alpha 90.00
_cell_angle_beta 90.00
_cell_angle_gamma 120.00
loop_
_atom_site_label
_atom_site_fract_x
_atom_site_fract_y
_atom_site_fract_z
Tm1 0.0000 0.0000 0.0000
Ti1 0.0000 0.0000 0.5000
P1 0.0000 0.0000 0.2412

# TmTiP2 PBE-GGA optimized geometry
# Energy of formation   -4.8 eV/f.u.
# Energy relative to the lowest polymorph listed for this composition   0.106 eV per atom
data_TmTiP2
_chemical_formula_sum 'Tm3 Ti3 P6'
_symmetry_space_group_name_H-M 'R 3 m'
_symmetry_Int_Tables_number 160
_symmetry_space_group_name_Hall 'R 3 -2"'
_cell_length_a 3.6647
_cell_length_b 3.6647
_cell_length_c 19.1182
_cell_angle_alpha 90.00
_cell_angle_beta 90.00
_cell_angle_gamma 120.00
loop_
_atom_site_label
_atom_site_fract_x
_atom_site_fract_y
_atom_site_fract_z
Tm1 0.0000 0.0000 0.0000
Ti1 0.0000 0.0000 0.8252
P1 0.0000 0.0000 0.2362
P2 0.0000 0.0000 0.4234

# UTiP3 PBE-GGA optimized geometry
# Energy of formation   -4.3 eV/f.u.
data_UTiP3
_chemical_formula_sum 'U4 Ti4 P12'
_symmetry_space_group_name_H-M 'P n m a'
_symmetry_Int_Tables_number 62
_cell_length_a 7.500
_cell_length_b 3.677
_cell_length_c 12.503
_cell_angle_alpha 90.00
_cell_angle_beta 90.00
_cell_angle_gamma 90.00
loop_
_symmetry_equiv_pos_as_xyz
'x,y,z'
'-x,-y,-z'
'-x+1/2,-y,z+1/2'
'x+1/2,y,-z+1/2'
'x+1/2,-y+1/2,-z+1/2'
'-x+1/2,y+1/2,z+1/2'
'-x,y+1/2,-z'
'x,-y+1/2,z'
loop_
_atom_site_label
_atom_site_fract_x
_atom_site_fract_y
_atom_site_fract_z
U1 0.062 0.250 0.176
Ti1 0.161 0.750 0.445
P1 0.047 0.750 0.621
P2 0.152 0.750 0.019
P3 0.201 0.250 0.767

# UTiP2 PBE-GGA optimized geometry
# Energy of formation   -3.8 eV/f.u.
# Energy relative to the lowest polymorph listed for this composition   0.117 eV per atom
data_UTiP2
_chemical_formula_sum 'U3 Ti3 P6'
_symmetry_space_group_name_H-M 'R 3 m'
_symmetry_Int_Tables_number 160
_symmetry_space_group_name_Hall 'R 3 -2"'
_cell_length_a 3.5939
_cell_length_b 3.5939
_cell_length_c 19.8051
_cell_angle_alpha 90.00
_cell_angle_beta 90.00
_cell_angle_gamma 120.00
loop_
_atom_site_label
_atom_site_fract_x
_atom_site_fract_y
_atom_site_fract_z
U1 0.0000 0.0000 0.0000
Ti1 0.0000 0.0000 0.1735
P1 0.0000 0.0000 0.5759
P2 0.0000 0.0000 0.7641

# UTiP2 PBE-GGA optimized geometry
# Energy of formation   -3.5 eV/f.u.
# Energy relative to the lowest polymorph listed for this composition   0.206 eV per atom
data_UTiP2
_chemical_formula_sum 'U4 Ti4 P8'
_symmetry_space_group_name_H-M 'C m c m'
_symmetry_Int_Tables_number 63
_symmetry_space_group_name_Hall '-C 2c 2'
_cell_length_a 3.622
_cell_length_b 20.518
_cell_length_c 3.959
_cell_angle_alpha 90.00
_cell_angle_beta 90.00
_cell_angle_gamma 90.00
loop_
_atom_site_label
_atom_site_fract_x
_atom_site_fract_y
_atom_site_fract_z
U1 0.000 0.064 0.250
Ti1 0.000 0.310 0.250
P1 0.000 0.192 0.250
P2 0.000 0.436 0.250

# UTiP2 PBE-GGA optimized geometry
# Energy of formation   -4.3 eV/f.u.
# Energy relative to the lowest polymorph listed for this composition   0.000 eV per atom
data_UTiP2
_chemical_formula_sum 'U3 Ti3 P6'
_symmetry_space_group_name_H-M 'R -3 m'
_symmetry_Int_Tables_number 166
_symmetry_space_group_name_Hall '-R 3 2"'
_cell_length_a 3.7340
_cell_length_b 3.7340
_cell_length_c 18.1416
_cell_angle_alpha 90.00
_cell_angle_beta 90.00
_cell_angle_gamma 120.00
loop_
_atom_site_label
_atom_site_fract_x
_atom_site_fract_y
_atom_site_fract_z
U1 0.0000 0.0000 0.0000
Ti1 0.0000 0.0000 0.5000
P1 0.0000 0.0000 0.2407

# ZrU2TiP4 PBE-GGA optimized geometry
# Energy of formation   -9.1 eV/f.u.
data_ZrU2TiP4
_chemical_formula_sum 'Zr1 U2 Ti1 P4'
_symmetry_space_group_name_H-M 'P 1 2/m 1'
_symmetry_Int_Tables_number 10
_cell_length_a 6.551
_cell_length_b 3.779
_cell_length_c 6.562
_cell_angle_alpha 90.00
_cell_angle_beta 109.38
_cell_angle_gamma 90.00
loop_
_symmetry_equiv_pos_as_xyz
'x,y,z'
'-x,-y,-z'
'-x,y,-z'
'x,-y,z'
loop_
_atom_site_label
_atom_site_fract_x
_atom_site_fract_y
_atom_site_fract_z
Zr1 0.000 0.000 0.000
U1 0.000 0.500 0.500
U2 0.500 0.000 0.500
Ti1 0.500 0.500 0.000
P1 0.253 0.500 0.234
P2 0.265 0.000 0.771

# TiV5P2 PBE-GGA optimized geometry
# Energy of formation   -5.0 eV/f.u.
data_TiV5P2
_chemical_formula_sum 'Ti2 V10 P4'
_symmetry_space_group_name_H-M 'I m m m'
_symmetry_Int_Tables_number 71
_symmetry_space_group_name_Hall '-I 2 2'
_cell_length_a 3.236
_cell_length_b 7.450
_cell_length_c 9.100
_cell_angle_alpha 90.00
_cell_angle_beta 90.00
_cell_angle_gamma 90.00
loop_
_atom_site_label
_atom_site_fract_x
_atom_site_fract_y
_atom_site_fract_z
Ti1 0.000 0.000 0.000
V1 0.000 0.187 0.346
V2 0.000 0.500 0.000
P1 0.000 0.500 0.277

# TiV2P PBE-GGA optimized geometry
# Energy of formation   -0.3 eV/f.u.
data_TiV2P
_chemical_formula_sum 'Ti4 V8 P4'
_symmetry_space_group_name_H-M 'I -4 2 d'
_symmetry_Int_Tables_number 122
_symmetry_space_group_name_Hall 'I -4 2bw'
_cell_length_a 7.181
_cell_length_b 7.181
_cell_length_c 4.770
_cell_angle_alpha 90.00
_cell_angle_beta 90.00
_cell_angle_gamma 90.00
loop_
_atom_site_label
_atom_site_fract_x
_atom_site_fract_y
_atom_site_fract_z
Ti1 0.000 0.000 0.000
V1 0.185 0.250 0.625
P1 0.000 0.000 0.500

| no. | calculated volume (A^3/atom) | DOS(E_F) (states/eV per atom) |
| --- | --- | --- |
| 1 | 17.2 | 0.874 |
| 2 | 25.8 | 0.859 |
| 3 | 20.0 | 0.722 |
| 4 | 18.3 | 0.532 |
| 5 | 18.5 | 0.623 |
| 6 | 17.2 | 0.877 |
| 7 | 18.5 | 1.924 |
| 8 | 18.4 | 1.612 |
| 9 | 18.3 | 1.376 |
| 10 | 19.2 | 1.291 |
| 11 | 13.7 | 0.460 |
| 12 | 15.4 | 1.329 |